Entry 1:
Compound: Li2ReAs
Source: Alexandria via LeMat-Bulk
Functional: PBE
Structure: optimized geometry

Cell: 10.0985 2.9848 4.1446 Å, 90.00 114.13 90.00°
Closest atoms and distances in Å follow each position.
Space group C2/m (No. 12)
Symmetry-distinct sites (fractional):
Li 0.2355 0.0000 0.2358 (multiplicity 4)  4 Li 2.57, 2 As 2.63, 2 Re 2.86
Re 0.0000 0.0000 0.5000 (multiplicity 2)  4 As 2.55, 4 Li 2.86
As 0.0000 0.5000 0.0000 (multiplicity 2)  4 Re 2.55, 4 Li 2.63

Energy relative to the elements = 57 meV/atom
Total DFT energy (no corrections) = -5.174 eV/atom
Total magnetic moment = 0.000 μB per atom
D(E_F) = 0.335 states/eV/atom



Entry 2:
Compound: LiRe2As
Source: Alexandria via LeMat-Bulk
Functional: PBE
Structure: optimized geometry

Cell: 2.7563 4.3900 4.8977 Å, 90.00 93.01 90.00°
Closest atoms and distances in Å follow each position.
Space group P2/m (No. 10)
Symmetry-distinct sites (fractional):
Li 0.0000 0.0000 0.0000 (multiplicity 1)  4 Re 2.65, 4 As 2.75-2.87, 2 Li 2.76
Re 0.3141 0.5000 0.7622 (multiplicity 2)  3 Re 2.49-2.76, 2 As 2.61, 2 Li 2.65
As 0.5000 0.0000 0.5000 (multiplicity 1)  4 Re 2.61, 4 Li 2.75-2.87, 2 As 2.76

Energy relative to the elements = 339 meV/atom
Total DFT energy (no corrections) = -7.526 eV/atom
Total magnetic moment = 0.000 μB per atom
D(E_F) = 0.648 states/eV/atom



Entry 3:
Compound: LiReAs
Source: Alexandria via LeMat-Bulk
Functional: PBE
Structure: optimized geometry

Cell: 5.8303 5.8303 5.8303 Å, 90.00 90.00 90.00°
Closest atoms and distances in Å follow each position.
Space group F-43m (No. 216)
Symmetry-distinct sites (fractional):
Li 0.0000 0.0000 0.0000 (multiplicity 4)  4 Re 2.52
Re 0.2500 0.2500 0.7500 (multiplicity 4)  4 Li 2.52, 4 As 2.52
As 0.0000 0.0000 0.5000 (multiplicity 4)  4 Re 2.52

Energy relative to the elements = 507 meV/atom
Total DFT energy (no corrections) = -5.830 eV/atom
Relative energy among the computed polymorphs = 697 meV/atom
Total magnetic moment = 0.068 μB per atom
D(E_F) = 1.249 states/eV/atom



Entry 4:
Compound: LiReAs3
Source: Alexandria via LeMat-Bulk
Functional: PBE
Structure: optimized geometry

Cell: 4.8922 4.8922 4.8922 Å, 90.00 90.00 90.00°
Closest atoms and distances in Å follow each position.
Space group Pm-3m (No. 221)
Symmetry-distinct sites (fractional):
Li 0.0000 0.0000 0.0000 (multiplicity 1)  12 As 3.46
Re 0.5000 0.5000 0.5000 (multiplicity 1)  6 As 2.45
As 0.0000 0.5000 0.5000 (multiplicity 3)  2 Re 2.45

Energy relative to the elements = 413 meV/atom
Total DFT energy (no corrections) = -5.249 eV/atom
Relative energy among the computed polymorphs = 0 meV/atom
Total magnetic moment = 0.000 μB per atom
D(E_F) = 0.847 states/eV/atom



Entry 5:
Compound: LiRe2As
Source: Alexandria via LeMat-Bulk
Functional: PBE
Structure: optimized geometry

Cell: 4.3340 4.3340 6.0948 Å, 90.00 90.00 90.00°
Closest atoms and distances in Å follow each position.
Space group I-4m2 (No. 119)
Symmetry-distinct sites (fractional):
Li 0.0000 0.0000 0.0000 (multiplicity 2)  4 As 2.65, 4 Re 2.65
Re 0.0000 0.0000 0.5000 (multiplicity 2)  4 As 2.65, 4 Re 2.65
Re 0.0000 0.5000 0.2500 (multiplicity 2)  4 Li 2.65, 4 Re 2.65
As 0.0000 0.5000 0.7500 (multiplicity 2)  4 Re 2.65, 4 Li 2.65

Energy relative to the elements = 205 meV/atom
Total DFT energy (no corrections) = -7.660 eV/atom
Total magnetic moment = 0.000 μB per atom
D(E_F) = 0.940 states/eV/atom



Entry 6:
Compound: LiRe2As
Source: Alexandria via LeMat-Bulk
Functional: PBE
Structure: optimized geometry

Cell: 8.3137 2.9072 4.8935 Å, 90.00 98.05 90.00°
Closest atoms and distances in Å follow each position.
Space group Cm (No. 8)
Symmetry-distinct sites (fractional):
Li 0.0000 0.0000 0.0000 (multiplicity 2)  3 As 2.42-2.60, 1 Re 2.56
Re 0.2438 0.0000 0.7331 (multiplicity 2)  3 Re 2.49-2.67, 3 Li 2.56-2.75, 2 As 2.69
Re 0.4919 0.0000 0.5018 (multiplicity 2)  3 Re 2.49-2.67, 3 As 2.76-2.77
As 0.2487 0.5000 0.1957 (multiplicity 2)  3 Li 2.42-2.60, 2 Re 2.69

Energy relative to the elements = 266 meV/atom
Total DFT energy (no corrections) = -7.599 eV/atom
Total magnetic moment = 0.000 μB per atom
D(E_F) = 0.535 states/eV/atom



Entry 7:
Compound: LiReAs
Source: Alexandria via LeMat-Bulk
Functional: PBE
Structure: optimized geometry

Cell: 3.1475 3.1475 8.3728 Å, 90.00 90.00 90.00°
Closest atoms and distances in Å follow each position.
Space group I4mm (No. 107)
Symmetry-distinct sites (fractional):
Li 0.0000 0.0000 0.0000 (multiplicity 2)  5 As 2.62-2.81, 5 Re 2.68-2.69
Re 0.0000 0.0000 0.3205 (multiplicity 2)  5 As 2.58-2.88, 5 Li 2.68-2.69
As 0.0000 0.0000 0.6640 (multiplicity 2)  5 Re 2.58-2.88, 5 Li 2.62-2.81

Energy relative to the elements = 65 meV/atom
Total DFT energy (no corrections) = -6.272 eV/atom
Relative energy among the computed polymorphs = 255 meV/atom
Total magnetic moment = 0.217 μB per atom
D(E_F) = 0.885 states/eV/atom



Entry 8:
Compound: LiRe2As
Source: Alexandria via LeMat-Bulk
Functional: PBE
Structure: optimized geometry

Cell: 3.7399 3.7399 18.0312 Å, 90.00 90.00 90.00°
Closest atoms and distances in Å follow each position.
Space group I-42d (No. 122)
Symmetry-distinct sites (fractional):
Li 0.0000 0.0000 0.0000 (multiplicity 4)  4 Re 2.56, 4 As 2.64
Re 0.2101 0.2500 0.1250 (multiplicity 8)  2 Re 2.44, 2 Li 2.56, 2 As 2.67
As 0.0000 0.0000 0.5000 (multiplicity 4)  4 Li 2.64, 4 Re 2.67

Energy relative to the elements = 458 meV/atom
Total DFT energy (no corrections) = -7.407 eV/atom
Total magnetic moment = 0.000 μB per atom
D(E_F) = 0.408 states/eV/atom



Entry 9:
Compound: LiReAs
Source: Alexandria via LeMat-Bulk
Functional: PBE
Structure: optimized geometry

Cell: 4.3967 4.3967 2.6373 Å, 90.00 90.00 120.00°
Closest atoms and distances in Å follow each position.
Space group P-6m2 (No. 187)
Symmetry-distinct sites (fractional):
Li 0.0000 0.0000 0.0000 (multiplicity 1)  2 Li 2.64, 6 As 2.86, 6 Re 2.86
Re 0.6667 0.3333 0.5000 (multiplicity 1)  3 As 2.54, 2 Re 2.64
As 0.3333 0.6667 0.5000 (multiplicity 1)  3 Re 2.54, 2 As 2.64

Energy relative to the elements = 108 meV/atom
Total DFT energy (no corrections) = -6.229 eV/atom
Relative energy among the computed polymorphs = 298 meV/atom
Total magnetic moment = 0.000 μB per atom
D(E_F) = 0.296 states/eV/atom



Entry 10:
Compound: LiRe2As
Source: Alexandria via LeMat-Bulk
Functional: PBE
Structure: optimized geometry

Cell: 3.0646 3.0646 5.8921 Å, 90.00 90.00 90.00°
Closest atoms and distances in Å follow each position.
Space group P4mm (No. 99)
Symmetry-distinct sites (fractional):
Li 0.0000 0.0000 0.0000 (multiplicity 1)  4 As 2.53, 4 Re 2.59
Re 0.0000 0.0000 0.5059 (multiplicity 1)  4 Re 2.67, 4 As 2.70, 2 Li 2.91-2.98
Re 0.5000 0.5000 0.2411 (multiplicity 1)  4 Li 2.59, 4 Re 2.67, 1 As 2.72
As 0.5000 0.5000 0.7790 (multiplicity 1)  4 Li 2.53, 5 Re 2.70-2.72

Energy relative to the elements = 73 meV/atom
Total DFT energy (no corrections) = -7.792 eV/atom
Total magnetic moment = 0.000 μB per atom
D(E_F) = 0.581 states/eV/atom



Entry 11:
Compound: Li2ReAs
Source: Alexandria via LeMat-Bulk
Functional: PBE
Structure: optimized geometry

Cell: 3.6050 3.6050 8.8620 Å, 90.00 90.00 90.00°
Closest atoms and distances in Å follow each position.
Space group I4/mmm (No. 139)
Symmetry-distinct sites (fractional):
Li 0.0000 0.5000 0.2500 (multiplicity 4)  4 Li 2.55
Re 0.0000 0.0000 0.0000 (multiplicity 2)  4 As 2.55
As 0.0000 0.0000 0.5000 (multiplicity 2)  4 Re 2.55

Energy relative to the elements = 196 meV/atom
Total DFT energy (no corrections) = -5.035 eV/atom
Total magnetic moment = 0.066 μB per atom
D(E_F) = 0.838 states/eV/atom



Entry 12:
Compound: LiReAs
Source: Alexandria via LeMat-Bulk
Functional: PBE
Structure: optimized geometry

Cell: 3.9465 3.9465 6.4687 Å, 90.00 90.00 90.00°
Closest atoms and distances in Å follow each position.
Space group P4/nmm (No. 129, origin choice 2)
Symmetry-distinct sites (fractional):
Li 0.2500 0.2500 0.1632 (multiplicity 2)  5 As 2.67-2.85, 4 Re 2.94
Re 0.2500 0.7500 0.5000 (multiplicity 2)  4 As 2.56, 4 Re 2.79
As 0.2500 0.2500 0.7509 (multiplicity 2)  4 Re 2.56, 5 Li 2.67-2.85

Energy relative to the elements = -190 meV/atom
Total DFT energy (no corrections) = -6.527 eV/atom
Relative energy among the computed polymorphs = 0 meV/atom
Total magnetic moment = 0.104 μB per atom
D(E_F) = 0.557 states/eV/atom



Entry 13:
Compound: LiRe2As
Source: Alexandria via LeMat-Bulk
Functional: PBE
Structure: optimized geometry

Cell: 2.8675 2.8675 25.6588 Å, 90.00 90.00 120.00°
Closest atoms and distances in Å follow each position.
Space group R-3m (No. 166, hexagonal axes)
Symmetry-distinct sites (fractional):
Li 0.0000 0.0000 0.0000 (multiplicity 3)  6 Re 2.86, 6 Li 2.87
Re 0.0000 0.0000 0.2425 (multiplicity 6)  3 As 2.55, 3 Li 2.86
As 0.0000 0.0000 0.5000 (multiplicity 3)  6 Re 2.55

Energy relative to the elements = 440 meV/atom
Total DFT energy (no corrections) = -7.425 eV/atom
Total magnetic moment = 0.000 μB per atom
D(E_F) = 0.581 states/eV/atom



Entry 14:
Compound: LiRe2As
Source: Alexandria via LeMat-Bulk
Functional: PBE
Structure: optimized geometry

Cell: 5.3623 6.2710 3.2957 Å, 90.00 90.00 90.00°
Closest atoms and distances in Å follow each position.
Space group Cmmm (No. 65)
Symmetry-distinct sites (fractional):
Li 0.0000 0.0000 0.0000 (multiplicity 2)  8 Re 2.64, 2 As 2.68
Re 0.2500 0.2500 0.5000 (multiplicity 4)  4 Li 2.64, 4 As 2.64, 2 Re 2.68
As 0.0000 0.5000 0.0000 (multiplicity 2)  8 Re 2.64, 2 Li 2.68

Energy relative to the elements = 498 meV/atom
Total DFT energy (no corrections) = -7.367 eV/atom
Total magnetic moment = 0.000 μB per atom
D(E_F) = 0.802 states/eV/atom



Entry 15:
Compound: LiRe2As
Source: Alexandria via LeMat-Bulk
Functional: PBE
Structure: optimized geometry

Cell: 2.9507 4.4069 9.5157 Å, 90.00 90.00 90.00°
Closest atoms and distances in Å follow each position.
Space group Cmmm (No. 65)
Symmetry-distinct sites (fractional):
Li 0.0000 0.0000 0.0000 (multiplicity 2)  6 Li 2.65-2.95, 4 Re 2.77
Re 0.0000 0.5000 0.2459 (multiplicity 4)  6 Re 2.65-2.95, 2 Li 2.77, 2 As 2.83
As 0.0000 0.0000 0.5000 (multiplicity 2)  6 As 2.65-2.95, 4 Re 2.83

Energy relative to the elements = 621 meV/atom
Total DFT energy (no corrections) = -7.244 eV/atom
Total magnetic moment = 0.000 μB per atom
D(E_F) = 0.765 states/eV/atom



| no. | V (Å³/atom) |
| --- | --- |
| 1 | 14.3 |
| 2 | 14.8 |
| 3 | 16.5 |
| 4 | 23.4 |
| 5 | 14.3 |
| 6 | 14.6 |
| 7 | 13.8 |
| 8 | 15.8 |
| 9 | 14.7 |
| 10 | 13.8 |
| 11 | 14.4 |
| 12 | 16.8 |
| 13 | 15.2 |
| 14 | 13.9 |
| 15 | 15.5 |